Record 1
Compound: Ba2BeRe
Source: Alexandria via LeMat-Bulk
Functional: PBE
Structure: optimized geometry

Unit cell a=4.653 b=4.653 c=21.052 alpha=90.00 beta=90.00 gamma=90.00
Space group I-42d (No. 122)
Unique sites:
1 Ba 0.247 0.250 0.125 (multiplicity 8)
2 Be 0.000 0.000 0.500 (multiplicity 4)
3 Re 0.000 0.000 0.000 (multiplicity 4)

Properties
Energy, eV/atom: -3.269
Energy of formation from the pure elements, eV per atom: 1.74

---

Record 2
Compound: Ba2BeRe
Source: Alexandria via LeMat-Bulk
Functional: PBE
Structure: optimized geometry

Unit cell a=5.675 b=5.675 c=3.643 alpha=90.00 beta=90.00 gamma=90.00
Space group P4/mmm (No. 123)
Unique sites:
1 Ba 0.000 0.500 0.000 (multiplicity 2)
2 Be 0.000 0.000 0.500 (multiplicity 1)
3 Re 0.500 0.500 0.500 (multiplicity 1)

Properties
Energy, eV/atom: -3.765
Energy of formation from the pure elements, eV per atom: 1.24

---

Copy entry 2 word for word.
Compound: Ba2BeRe
Source: Alexandria via LeMat-Bulk
Functional: PBE
Structure: optimized geometry

Unit cell a=5.675 b=5.675 c=3.643 alpha=90.00 beta=90.00 gamma=90.00
Space group P4/mmm (No. 123)
Unique sites:
1 Ba 0.000 0.500 0.000 (multiplicity 2)
2 Be 0.000 0.000 0.500 (multiplicity 1)
3 Re 0.500 0.500 0.500 (multiplicity 1)

Properties
Energy, eV/atom: -3.765
Energy of formation from the pure elements, eV per atom: 1.24